1.
# LaYAgPd | the Alexandria database | PBE | optimized geometry
# * total DFT energy (no corrections): -21.62 eV per formula unit
# * total magnetization: 0.00 μB per formula unit
# * density of states at the Fermi level: 5.5 states/eV/cell
# * distance to the lowest polymorph of the same formula: 0 kJ/mol of formula units
data_LaYAgPd
_symmetry_space_group_name_H-M 'A m m 2'
_symmetry_Int_Tables_number 38
_symmetry_space_group_name_Hall 'A 2 -2'
_cell_length_a 4.8592
_cell_length_b 3.8782
_cell_length_c 10.8605
_cell_angle_alpha 90.00
_cell_angle_beta 90.00
_cell_angle_gamma 90.00
loop_
_atom_site_label
_atom_site_type_symbol
_atom_site_fract_x
_atom_site_fract_y
_atom_site_fract_z
_atom_site_occupancy
La1 La 0.0000 0.0000 0.0000 1
Y1 Y 0.5000 0.0000 0.2776 1
Ag1 Ag 0.5000 0.0000 0.5621 1
Pd1 Pd 0.0000 0.0000 0.7259 1

2.
# LaYAgPd | the Alexandria database | PBE | optimized geometry
# * total DFT energy (no corrections): -21.54 eV per formula unit
# * total magnetization: 0.00 μB per formula unit
# * density of states at the Fermi level: 10.1 states/eV/cell
# * distance to the lowest polymorph of the same formula: 8 kJ/mol of formula units
data_LaYAgPd
_symmetry_space_group_name_H-M 'F -4 3 m'
_symmetry_Int_Tables_number 216
_symmetry_space_group_name_Hall 'F -4 2 3'
_cell_length_a 7.3461
_cell_length_b 7.3461
_cell_length_c 7.3461
_cell_angle_alpha 90.00
_cell_angle_beta 90.00
_cell_angle_gamma 90.00
loop_
_atom_site_label
_atom_site_type_symbol
_atom_site_fract_x
_atom_site_fract_y
_atom_site_fract_z
_atom_site_occupancy
La1 La 0.0000 0.0000 0.0000 1
Y1 Y 0.0000 0.0000 0.5000 1
Ag1 Ag 0.2500 0.2500 0.7500 1
Pd1 Pd 0.2500 0.2500 0.2500 1

3.
# LaZn5AgPd2 | the Alexandria database | PBE | optimized geometry
# * total DFT energy (no corrections): -26.49 eV per formula unit
# * total magnetization: 0.00 μB per formula unit
# * density of states at the Fermi level: 4.8 states/eV/cell
data_LaZn5AgPd2
_symmetry_space_group_name_H-M 'P 4/m m m'
_symmetry_Int_Tables_number 123
_symmetry_space_group_name_Hall '-P 4 2'
_cell_length_a 4.8738
_cell_length_b 4.8738
_cell_length_c 7.4662
_cell_angle_alpha 90.00
_cell_angle_beta 90.00
_cell_angle_gamma 90.00
loop_
_atom_site_label
_atom_site_type_symbol
_atom_site_fract_x
_atom_site_fract_y
_atom_site_fract_z
_atom_site_occupancy
La1 La 0.0000 0.0000 0.0000 1
Zn1 Zn 0.0000 0.5000 0.3051 1
Zn2 Zn 0.5000 0.5000 0.0000 1
Ag1 Ag 0.0000 0.0000 0.5000 1
Pd1 Pd 0.5000 0.5000 0.3197 1

Energy of formation list, top to bottom, in eV per atom: -0.547; -0.525; -0.217